Compound: SmCuNi
Source: the Alexandria database
Functional: PBE-GGA
Structure: relaxed

- calculated density (g cm⁻³) = 8.39
- energy above the lowest structure with this stoichiometry (eV per atom) = 0.000
- DFT total energy (Ha/atom) = -0.18949
- formation energy from the elements (eV/atom) = -0.29
- M_tot (μB per cell) = 0.000

The structure in extended XYZ format:
```
6
Lattice="3.825 0.000 1.587 1.759 4.881 1.165 -0.133 0.026 5.725" Properties=species:S:1:pos:R:3 pbc="T T T"
Sm 3.092 3.923 3.354
Sm 2.358 0.984 5.123
Ni 1.232 1.923 2.434
Cu 1.864 3.719 6.316
Ni 4.218 2.984 6.043
Cu 3.587 1.188 2.161
```

***

Compound: Ce2MgTl9
Source: the Alexandria database
Functional: PBE-GGA
Structure: relaxed

- calculated density (g cm⁻³) = 10.58
- DFT total energy (Ha/atom) = -0.11118
- formation energy from the elements (eV/atom) = -0.13
- M_tot (μB per cell) = 2.138

The structure in extended XYZ format:
```
12
Lattice="-1.783 -2.358 3.842 -2.020 -3.275 -2.948 11.899 -7.928 0.656" Properties=species:S:1:pos:R:3 pbc="T T T"
Mg 0.000 0.000 0.000
Tl 9.103 -7.839 2.472
Tl 1.013 -2.448 2.026
Ce 3.952 -2.633 0.218
Tl 4.940 -5.602 -1.146
Tl 5.058 -5.143 2.249
Tl 8.985 -8.297 -0.923
Tl 0.895 -2.907 -1.369
Tl -1.902 -2.817 0.447
Ce 7.947 -5.295 0.438
Tl 6.024 -8.098 0.884
Tl 2.073 -5.465 0.666
```

***

Compound: Li7MgCd2
Source: the Alexandria database
Functional: PBE-GGA
Structure: relaxed

- calculated density (g cm⁻³) = 2.52
- energy above the lowest structure with this stoichiometry (eV per atom) = 0.000
- DFT total energy (Ha/atom) = -0.06391
- formation energy from the elements (eV/atom) = -0.06
- M_tot (μB per cell) = 0.000

The structure in extended XYZ format:
```
10
Lattice="-3.567 1.231 2.856 2.418 -3.985 0.817 6.466 5.126 5.869" Properties=species:S:1:pos:R:3 pbc="T T T"
Li 0.999 -1.790 2.019
Li 5.866 2.068 6.437
Cd 1.207 1.695 4.699
Li 3.871 3.068 3.513
Mg 6.157 4.880 5.588
Li -0.796 0.107 2.880
Li 1.818 1.441 1.651
Li 2.587 -0.531 3.461
Li 3.268 3.329 6.569
Cd 4.222 0.765 4.945
```

***

Compound: AgMo2As
Source: the Alexandria database
Functional: PBE-GGA
Structure: relaxed

- calculated density (g cm⁻³) = 9.60
- DFT total energy (Ha/atom) = -0.25422
- formation energy from the elements (eV/atom) = 0.37
- M_tot (μB per cell) = 0.000

The structure in extended XYZ format:
```
4
Lattice="5.212 0.002 0.002 2.230 4.711 -0.002 -3.243 -3.112 2.640" Properties=species:S:1:pos:R:3 pbc="T T T"
Ag 3.636 2.303 0.000
Mo 2.960 -0.304 1.321
As 1.276 1.928 1.319
Mo 0.049 0.031 0.000
```